Ac12Ga6N | PBE | relaxed

It has space group R-3 (No. 148, hexagonal axes), with a = 12.6762 Å, b = 12.6762 Å, c = 14.3286 Å, α = 90.00°, β = 90.00° and γ = 120.00°. The distinct sites, in fractional coordinates, are Ac at (0.0355, 0.1989, 0.3869), Ac at (0.0373, 0.8487, 0.8914), Ga at (0.0055, 0.3983, 0.2538) and N at (0.0000, 0.0000, 0.0000).

As for the uncorrected formation energy: -0.3591 eV per atom. As for the calculated total energy: -247.833 eV/cell. Its calculated density is 7.886 g/cm3. The calculation puts the volume at 1993.9 Å³ per cell.


Ac2GaN | PBE | relaxed

It has space group Cccm (No. 66), with a = 5.736 Å, b = 13.982 Å, c = 6.177 Å, α = 90.00°, β = 90.00° and γ = 90.00°. The distinct sites, in fractional coordinates, are Ac at (0.209, 0.103, 0.000), Ga at (0.250, 0.250, 0.500) and N at (0.000, 0.000, 0.250).

As for the uncorrected formation energy: -0.6843 eV per atom. As for the calculated total energy: -89.225 eV/cell. Its calculated density is 7.209 g/cm3. The calculation puts the volume at 495.5 Å³ per cell.


Ac2GaN2 | PBE | relaxed

It has space group I4/mmm (No. 139), with a = 5.339 Å, b = 5.339 Å, c = 8.744 Å, α = 90.00°, β = 90.00° and γ = 90.00°. The distinct sites, in fractional coordinates, are Ac at (0.000, 0.500, 0.250), Ga at (0.000, 0.000, 0.000) and N at (0.000, 0.000, 0.218).

As for the uncorrected formation energy: -0.5409 eV per atom. As for the calculated total energy: -61.198 eV/cell. Its calculated density is 7.350 g/cm3. The calculation puts the volume at 249.3 Å³ per cell.